A geometry-optimized SmDyYCd structure. Source: Alexandria, functional PBE.

Calculated values
Total magnetization ... 0.00 μB/f.u.
Space-group type ... P4mm
Total energy ... -17.3 eV for the cell shown
Polymorph energy (0 for the lowest one) ... 0.0000 eV/atom

Cell: 3.619 3.619 9.053 Å, 90.00 90.00 90.00°
Fractional positions:
Sm 0.000 0.000 0.000
Dy 0.500 0.500 0.275
Y 0.500 0.500 0.721
Cd 0.000 0.000 0.497

=====

A geometry-optimized Pm6Co2H structure. Source: Alexandria, functional PBE.

Calculated values
Total magnetization ... 0.00 μB/f.u.
Space-group type ... C2/m
Total energy ... -46.5 eV for the cell shown
Polymorph energy (0 for the lowest one) ... 0.1058 eV/atom

Cell: 6.649 6.649 10.893 Å, 110.42 110.42 31.56°
Fractional positions:
Pm 0.010 0.010 0.267
Pm 0.192 0.192 0.612
Pm 0.348 0.348 0.950
Pm 0.652 0.652 0.050
Pm 0.808 0.808 0.388
Pm 0.990 0.990 0.733
Co 0.326 0.326 0.195
Co 0.674 0.674 0.805
H 0.000 0.000 0.500

=====

A geometry-optimized Y2CdFeCo structure. Source: Alexandria, functional PBE.

Calculated values
Total magnetization ... 2.34 μB/f.u.
Space-group type ... P4/mmm
Total energy ... -26.7 eV for the cell shown

Cell: 4.980 4.980 4.925 Å, 90.00 90.00 90.00°
Fractional positions:
Y 0.000 0.500 0.000
Y 0.500 0.000 0.000
Cd 0.000 0.000 0.500
Fe 0.000 0.000 0.000
Co 0.500 0.500 0.500